#a
Tb4Pm3Ho5: relaxed, PBE.

Properties
- symmetry = P-1 (2)
- density of states at the Fermi level (states/eV/atom) = 1.28
- magnetic moment (μB/f.u.) = 0.000

Cell: 7.133 11.278 12.861 Å, 151.30 56.38 129.25°
Atoms (fractional coordinates):
Tb  0.917  0.835  0.668
Tb  0.832  0.665  0.833
Tb  0.168  0.335  0.167
Tb  0.083  0.165  0.332
Pm  0.584  0.167  0.333
Pm  0.000  0.000  0.500
Pm  0.416  0.833  0.667
Ho  0.332  0.667  0.834
Ho  0.500  0.000  0.500
Ho  0.750  0.501  0.001
Ho  0.250  0.499  0.999
Ho  0.668  0.333  0.166

#b
Tb4Pm3Ho5: relaxed, PBE.

Properties
- symmetry = C2/m (12)
- density of states at the Fermi level (states/eV/atom) = 1.57
- magnetic moment (μB/f.u.) = 0.208

Cell: 5.913 8.525 9.666 Å, 105.89 72.19 69.71°
Site moments in Bohr magnetons follow the coordinates.
Atoms (fractional coordinates):
Tb  0.860  0.222  0.058  0.00
Tb  0.169  0.041  0.622  0.00
Tb  0.831  0.959  0.378  0.00
Tb  0.140  0.778  0.942  0.00
Pm  0.523  0.686  0.269  0.00
Pm  0.000  0.500  0.500  0.07
Pm  0.477  0.314  0.731  0.00
Ho  0.624  0.949  0.803  0.01
Ho  0.500  0.500  0.500  0.09
Ho  0.215  0.457  0.112  0.00
Ho  0.785  0.543  0.888  0.00
Ho  0.376  0.051  0.197  0.01

We find #a to be the most stable, with the next structure 216 meV per atom higher.